(1)
The following is a PBE calculation of ScAgF5 after structural relaxation, from Alexandria.

Output
- Density of states at the Fermi level: 1.96 states/eV/cell
- Energy relative to the elements, uncorrected: -2.6922 eV/atom
- Space-group type: C2/c (15)

a b c (Å): 5.6904 5.6904 8.0399
angles (deg): 69.30 69.30 73.53
Last column: nearest neighbours and their distance in Å.
Fractional positions:
F  0.9947  0.0053  0.2500  2 Sc 2.01
F  0.6991  0.2962  0.9984  1 Sc 2.03
F  0.3009  0.7038  0.0016  1 Sc 2.03
F  0.2435  0.2528  0.8756  1 Sc 2.03, 1 Ag 2.06
F  0.7472  0.7565  0.6244  1 Sc 2.03, 1 Ag 2.06
F  0.2962  0.6991  0.4984  1 Sc 2.03
F  0.7038  0.3009  0.5016  1 Sc 2.03
F  0.2528  0.2435  0.3756  1 Sc 2.03, 1 Ag 2.06
F  0.0053  0.9947  0.7500  2 Sc 2.01
F  0.7565  0.7472  0.1244  1 Sc 2.03, 1 Ag 2.06
Sc  0.0000  0.0000  0.5000  6 F 2.01-2.03
Sc  0.0000  0.0000  0.0000  6 F 2.01-2.03
Ag  0.4969  0.5031  0.7500  2 F 2.06
Ag  0.5031  0.4969  0.2500  2 F 2.06


(2)
The following is a PBE calculation of Sm2DyPu3Te6 after structural relaxation, from Alexandria.

Output
- Density of states at the Fermi level: 32.76 states/eV/cell
- Energy relative to the elements, uncorrected: -1.2434 eV/atom
- Space-group type: C2/m (12)

a b c (Å): 4.4032 8.8786 9.9116
angles (deg): 103.59 102.83 90.00
Last column: nearest neighbours and their distance in Å.
Fractional positions:
Sm  0.1673  0.3351  0.3345  6 Te 3.13-3.15
Sm  0.8327  0.6649  0.6655  6 Te 3.13-3.15
Te  0.9992  0.2457  0.9983  2 Dy 3.10, 3 Pu 3.14-3.15, 1 Sm 3.15
Te  0.0008  0.7543  0.0017  2 Dy 3.10, 3 Pu 3.14-3.15, 1 Sm 3.15
Te  0.3353  0.9184  0.6705  1 Dy 3.09, 3 Pu 3.12-3.14, 2 Sm 3.14
Te  0.3341  0.4148  0.6682  3 Pu 3.11, 3 Sm 3.13
Te  0.6647  0.0816  0.3295  1 Dy 3.09, 3 Pu 3.12-3.14, 2 Sm 3.14
Te  0.6659  0.5852  0.3318  3 Pu 3.11, 3 Sm 3.13
Dy  0.5000  0.0000  0.0000  6 Te 3.09-3.10
Pu  0.1681  0.8342  0.3362  6 Te 3.11-3.14
Pu  0.8319  0.1658  0.6638  6 Te 3.11-3.14
Pu  0.5000  0.5000  0.0000  6 Te 3.11-3.15


(3)
The following is a PBE calculation of TlV2SiHg after structural relaxation, from Alexandria.

Output
- Density of states at the Fermi level: 7.18 states/eV/cell
- Energy relative to the elements, uncorrected: 0.8294 eV/atom
- Space-group type: P4/mmm (123)

a b c (Å): 4.7174 5.1735 4.7174
angles (deg): 90.00 90.00 90.00
Last column: nearest neighbours and their distance in Å.
Fractional positions:
Tl  0.0000  0.5000  0.0000  2 Si 2.59
V  0.5000  0.0000  0.0000  2 Si 2.36
V  0.0000  0.0000  0.5000  2 Si 2.36
Si  0.0000  0.0000  0.0000  4 V 2.36, 2 Tl 2.59
Hg  0.5000  0.5000  0.5000  4 Tl 3.34, 8 V 3.50